Entry 1:
Crystalline Sm4AgSe2S at its relaxed geometry. Source: Alexandria, functional PBE.

Properties
Spin magnetization = 0.00 μB per cell
Formation energy without anion corrections = -1442 meV per atom

Structure (extended XYZ):
```
8
Lattice="7.238 0.000 0.000 0.000 4.118 0.000 -2.381 0.000 6.862" Properties=species:S:1:pos:R:3 pbc="T T T"
Sm 1.195 0.000 1.620
Sm 0.010 2.059 5.210
Sm 4.847 2.059 1.652
Sm 3.662 0.000 5.242
Ag -1.191 0.000 3.431
Se 3.619 0.000 0.000
Se 2.428 2.059 3.431
S 0.000 2.059 0.000
```

=====

Entry 2:
Crystalline AgSn2Se3S at its relaxed geometry. Source: Alexandria, functional PBE.

Properties
Spin magnetization = 0.00 μB per cell
Formation energy without anion corrections = -292 meV per atom

Structure (extended XYZ):
```
14
Lattice="4.023 2.323 6.622 -4.023 2.323 6.622 0.000 -4.646 6.622" Properties=species:S:1:pos:R:3 pbc="T T T"
Ag 0.000 0.000 2.772
Ag 0.000 0.000 17.093
Sn -2.012 -1.161 6.622
Sn -2.012 1.161 13.243
Sn 0.000 2.323 6.622
Sn 0.000 0.000 9.933
Se 0.000 -2.248 8.254
Se -1.946 1.124 8.254
Se -1.946 -1.124 11.611
Se 1.946 1.124 8.254
Se 1.946 -1.124 11.611
Se 0.000 2.248 11.611
S 0.000 0.000 5.242
S 0.000 0.000 14.623
```

=====

Entry 3:
Crystalline AgSnSeS at its relaxed geometry. Source: Alexandria, functional PBE.

Properties
Spin magnetization = 0.00 μB per cell
Formation energy without anion corrections = -199 meV per atom

Structure (extended XYZ):
```
4
Lattice="3.354 -2.488 0.000 3.354 2.488 0.000 -1.489 0.000 6.488" Properties=species:S:1:pos:R:3 pbc="T T T"
Ag 0.000 0.000 0.000
Sn 2.902 0.000 3.676
Se 0.275 0.000 2.789
S 2.659 0.000 6.092
```

=====

Entry 4:
Crystalline AgTeSeS at its relaxed geometry. Source: Alexandria, functional PBE.

Properties
Spin magnetization = 0.00 μB per cell
Formation energy without anion corrections = 80 meV per atom

Structure (extended XYZ):
```
4
Lattice="5.433 0.000 0.000 0.000 1.917 4.950 0.000 -1.917 4.950" Properties=species:S:1:pos:R:3 pbc="T T T"
Ag 0.000 0.000 0.000
Te 2.716 0.000 2.631
Se 0.000 0.000 2.919
S 2.716 0.000 0.252
```

=====

Entry 5:
Crystalline Ag2TeSe2S at its relaxed geometry. Source: Alexandria, functional PBE.

Properties
Spin magnetization = 0.00 μB per cell
Formation energy without anion corrections = -24 meV per atom

Structure (extended XYZ):
```
12
Lattice="5.946 -4.338 0.000 5.946 4.338 0.000 0.000 0.000 6.811" Properties=species:S:1:pos:R:3 pbc="T T T"
Ag 1.844 1.323 0.000
Ag 1.844 -1.323 3.406
Ag 10.048 1.323 0.000
Ag 10.048 -1.323 3.406
Te 5.946 1.771 6.709
Te 5.946 -1.771 3.303
Se 2.102 1.241 2.651
Se 2.102 -1.241 6.057
Se 9.790 1.241 2.651
Se 9.790 -1.241 6.057
S 5.946 1.687 2.300
S 5.946 -1.687 5.706
```

=====

Entry 6:
Crystalline Ag2TeSeS2 at its relaxed geometry. Source: Alexandria, functional PBE.

Properties
Spin magnetization = 0.00 μB per cell
Formation energy without anion corrections = -2 meV per atom

Structure (extended XYZ):
```
12
Lattice="5.795 -4.280 0.000 5.795 4.280 0.000 0.000 0.000 6.654" Properties=species:S:1:pos:R:3 pbc="T T T"
Ag 1.958 1.271 0.000
Ag 1.958 -1.271 3.327
Ag 9.632 1.271 0.000
Ag 9.632 -1.271 3.327
Te 5.795 1.858 6.358
Te 5.795 -1.858 3.031
Se 5.795 1.588 2.250
Se 5.795 -1.588 5.577
S 2.038 1.187 2.574
S 2.038 -1.187 5.901
S 9.553 1.187 2.574
S 9.553 -1.187 5.901
```

=====

Entry 7:
Crystalline Ag2TeSeS at its relaxed geometry. Source: Alexandria, functional PBE.

Properties
Spin magnetization = 2.03 μB per cell
Formation energy without anion corrections = 659 meV per atom

Structure (extended XYZ):
```
5
Lattice="5.313 0.000 0.000 0.000 5.313 0.000 0.000 0.000 5.151" Properties=species:S:1:pos:R:3 pbc="T T T"
Ag 0.000 2.656 0.000
Ag 2.656 0.000 0.000
Te 0.000 0.000 0.000
Se 2.656 2.656 2.575
S 0.000 0.000 2.575
```

=====

Entry 8:
Crystalline Ag4Te2SeS5 at its relaxed geometry. Source: Alexandria, functional PBE.

Properties
Spin magnetization = 0.00 μB per cell
Formation energy without anion corrections = 62 meV per atom

Structure (extended XYZ):
```
12
Lattice="7.875 0.000 0.000 0.000 7.544 2.805 0.000 -7.544 2.805" Properties=species:S:1:pos:R:3 pbc="T T T"
Ag 0.000 -5.843 2.805
Ag 0.000 5.843 2.805
Ag 2.023 0.000 2.065
Ag 5.853 0.000 2.065
Te 3.938 -5.213 2.355
Te 3.938 5.213 2.355
Se 0.000 0.000 3.688
S 2.164 -2.352 1.144
S 2.164 2.352 1.144
S 3.938 0.000 4.125
S 5.711 -2.352 1.144
S 5.711 2.352 1.144
```

=====

Entry 9:
Crystalline TmAgSeS at its relaxed geometry. Source: Alexandria, functional PBE.

Properties
Spin magnetization = 0.00 μB per cell
Formation energy without anion corrections = -1218 meV per atom

Structure (extended XYZ):
```
8
Lattice="2.188 1.263 11.091 -2.188 1.263 11.091 0.000 -2.527 11.091" Properties=species:S:1:pos:R:3 pbc="T T T"
Tm 0.000 0.000 3.752
Tm 0.000 0.000 29.521
Ag 0.000 0.000 10.292
Ag 0.000 0.000 22.980
Se 0.000 0.000 13.066
Se 0.000 0.000 20.206
S 0.000 0.000 6.549
S 0.000 0.000 26.724
```

=====

Entry 10:
Crystalline U2AgSe2S2 at its relaxed geometry. Source: Alexandria, functional PBE.

Properties
Spin magnetization = 5.00 μB per cell
Formation energy without anion corrections = -981 meV per atom

Structure (extended XYZ):
```
7
Lattice="4.422 0.000 0.000 -2.211 3.829 0.000 0.000 0.000 11.760" Properties=species:S:1:pos:R:3 pbc="T T T"
U 0.000 2.553 1.849
U 2.211 1.276 9.910
Ag 0.000 0.000 5.880
Se 0.000 0.000 3.394
Se 0.000 0.000 8.366
S 0.000 2.553 10.806
S 2.211 1.276 0.954
```

=====

Entry 11:
Crystalline UAgSe2S at its relaxed geometry. Source: Alexandria, functional PBE.

Properties
Spin magnetization = 2.13 μB per cell
Formation energy without anion corrections = -771 meV per atom

Structure (extended XYZ):
```
10
Lattice="1.940 -6.656 0.000 1.940 6.656 0.000 0.000 0.000 8.899" Properties=species:S:1:pos:R:3 pbc="T T T"
U 1.940 3.386 6.674
U 1.940 -3.386 2.225
Ag 1.940 0.000 0.000
Ag 1.940 0.000 4.450
Se 1.940 4.633 0.571
Se 1.940 4.633 3.878
Se 1.940 -4.633 5.021
Se 1.940 -4.633 8.328
S 1.940 1.455 2.225
S 1.940 -1.455 6.674
```

=====

Entry 12:
Crystalline UAgSeS at its relaxed geometry. Source: Alexandria, functional PBE.

Properties
Spin magnetization = 5.98 μB per cell
Formation energy without anion corrections = -769 meV per atom

Structure (extended XYZ):
```
8
Lattice="2.218 1.280 10.975 -2.218 1.280 10.975 0.000 -2.561 10.975" Properties=species:S:1:pos:R:3 pbc="T T T"
U 0.000 0.000 3.679
U 0.000 0.000 29.245
Ag 0.000 0.000 10.123
Ag 0.000 0.000 22.801
Se 0.000 0.000 12.926
Se 0.000 0.000 19.998
S 0.000 0.000 6.467
S 0.000 0.000 26.456
```

=====

Entry 13:
Crystalline Si2AgS at its relaxed geometry. Source: Alexandria, functional PBE.

Properties
Spin magnetization = 0.00 μB per cell
Formation energy without anion corrections = 365 meV per atom

Structure (extended XYZ):
```
8
Lattice="-2.844 2.844 5.422 2.844 -2.844 5.422 2.844 2.844 -5.422" Properties=species:S:1:pos:R:3 pbc="T T T"
Si 4.265 1.357 -1.355
Si 1.357 1.422 1.355
Si -1.422 1.486 4.066
Si 1.486 1.422 6.777
Ag 2.844 0.000 2.711
Ag 0.000 0.000 5.422
S 0.000 0.000 0.000
S 0.000 2.844 2.711
```

=====

Entry 14:
Crystalline SiAg5S6 at its relaxed geometry. Source: Alexandria, functional PBE.

Properties
Spin magnetization = 0.00 μB per cell
Formation energy without anion corrections = -101 meV per atom

Structure (extended XYZ):
```
12
Lattice="3.339 -5.573 0.000 3.339 5.573 0.000 -2.434 0.000 6.063" Properties=species:S:1:pos:R:3 pbc="T T T"
Si 0.000 0.000 0.000
Ag 2.122 3.940 3.032
Ag 3.339 1.959 0.000
Ag 2.122 0.000 3.032
Ag 3.339 -1.959 0.000
Ag 2.122 -3.940 3.032
S 0.753 1.624 1.484
S -0.355 0.000 4.981
S 0.753 -1.624 1.484
S 3.491 1.624 4.580
S 4.598 0.000 1.082
S 3.491 -1.624 4.580
```

=====

Entry 15:
Crystalline SiAgS3 at its relaxed geometry. Source: Alexandria, functional PBE.

Properties
Spin magnetization = 0.00 μB per cell
Formation energy without anion corrections = 314 meV per atom

Structure (extended XYZ):
```
5
Lattice="4.554 0.000 0.000 0.000 4.554 0.000 0.000 0.000 4.554" Properties=species:S:1:pos:R:3 pbc="T T T"
Si 0.000 0.000 0.000
Ag 2.277 2.277 2.277
S 0.000 0.000 2.277
S 0.000 2.277 0.000
S 2.277 0.000 0.000
```

=====

Entry 16:
Crystalline SiAg5S4 at its relaxed geometry. Source: Alexandria, functional PBE.

Properties
Spin magnetization = 0.00 μB per cell
Formation energy without anion corrections = -157 meV per atom

Structure (extended XYZ):
```
20
Lattice="7.461 0.000 0.000 0.000 10.289 0.000 0.000 0.000 5.830" Properties=species:S:1:pos:R:3 pbc="T T T"
Si 1.865 2.572 1.372
Si 5.596 7.717 4.458
Ag 0.409 6.246 1.759
Ag 0.409 9.188 1.759
Ag 1.865 7.717 3.819
Ag 3.322 6.246 1.759
Ag 3.322 9.188 1.759
Ag 4.139 1.101 4.071
Ag 4.139 4.044 4.071
Ag 5.596 2.572 2.011
Ag 7.052 1.101 4.071
Ag 7.052 4.044 4.071
S 0.019 2.572 0.280
S 1.865 0.847 2.683
S 1.865 4.298 2.683
S 3.711 2.572 0.280
S 3.750 7.717 5.550
S 5.596 5.991 3.147
S 5.596 9.443 3.147
S 7.442 7.717 5.550
```

=====

Entry 17:
Crystalline SiAgS3 at its relaxed geometry. Source: Alexandria, functional PBE.

Properties
Spin magnetization = 0.00 μB per cell
Formation energy without anion corrections = -172 meV per atom

Structure (extended XYZ):
```
10
Lattice="6.269 0.000 0.000 -3.135 5.429 0.000 0.000 0.000 5.811" Properties=species:S:1:pos:R:3 pbc="T T T"
Si 0.000 0.000 1.453
Si 0.000 0.000 4.358
Ag 0.000 3.620 1.453
Ag 3.135 1.810 4.358
S -0.892 1.546 2.906
S -2.242 3.884 0.000
S 1.785 0.000 2.906
S 0.892 1.546 0.000
S 4.485 0.000 0.000
S 2.242 3.884 2.906
```

=====

Entry 18:
Crystalline SiAg8S6 at its relaxed geometry. Source: Alexandria, functional PBE.

Properties
Spin magnetization = 0.00 μB per cell
Formation energy without anion corrections = -191 meV per atom

Structure (extended XYZ):
```
30
Lattice="7.682 0.000 0.000 0.000 7.496 0.000 0.000 0.000 10.576" Properties=species:S:1:pos:R:3 pbc="T T T"
Si 0.000 1.846 0.000
Si 3.841 5.650 5.288
Ag 0.000 4.690 5.449
Ag 0.000 5.330 10.168
Ag 1.545 1.064 6.729
Ag 1.561 0.787 3.652
Ag 1.577 3.955 7.911
Ag 2.264 3.541 2.623
Ag 2.280 6.709 8.940
Ag 2.296 6.432 1.441
Ag 3.841 2.166 4.880
Ag 3.841 2.806 0.161
Ag 5.386 6.432 1.441
Ag 5.402 6.709 8.940
Ag 5.418 3.541 2.623
Ag 6.105 3.955 7.911
Ag 6.121 0.787 3.652
Ag 6.137 1.064 6.729
S 0.000 0.115 1.301
S 0.000 2.143 5.120
S 0.000 3.550 1.309
S 0.000 6.009 7.720
S 1.788 1.837 9.371
S 2.054 5.659 4.083
S 3.841 1.487 2.432
S 3.841 3.946 6.597
S 3.841 5.353 10.408
S 3.841 7.381 6.589
S 5.629 5.659 4.083
S 5.895 1.837 9.371
```

=====

Entry 19:
Crystalline SiAg4S4 at its relaxed geometry. Source: Alexandria, functional PBE.

Properties
Spin magnetization = 0.00 μB per cell
Formation energy without anion corrections = -189 meV per atom

Structure (extended XYZ):
```
9
Lattice="5.736 -3.185 0.000 5.736 3.185 0.000 -3.149 0.000 5.185" Properties=species:S:1:pos:R:3 pbc="T T T"
Si 0.000 0.000 0.000
Ag 4.161 2.595 2.593
Ag 2.837 0.124 2.002
Ag 5.736 -0.052 0.000
Ag 5.485 0.124 3.183
S 3.969 1.936 0.157
S 4.353 1.936 5.028
S 2.201 -2.025 3.408
S 6.121 -2.025 1.778
```

=====

Entry 20:
Crystalline SiAg8S6 at its relaxed geometry. Source: Alexandria, functional PBE.

Properties
Spin magnetization = 0.00 μB per cell
Formation energy without anion corrections = -190 meV per atom

Structure (extended XYZ):
```
60
Lattice="15.166 0.000 0.000 0.000 7.549 0.000 0.000 0.000 10.657" Properties=species:S:1:pos:R:3 pbc="T T T"
Si 1.874 1.782 0.000
Si 5.709 5.557 5.328
Si 9.457 1.993 0.000
Si 13.292 5.767 5.328
Ag 0.217 3.900 2.539
Ag 0.978 5.556 0.140
Ag 1.002 0.545 3.508
Ag 1.325 0.876 7.039
Ag 1.978 5.832 5.139
Ag 3.444 3.819 2.783
Ag 3.508 2.896 7.017
Ag 3.632 0.960 4.769
Ag 3.951 4.735 10.098
Ag 4.076 6.670 1.689
Ag 4.139 0.044 8.111
Ag 5.605 2.057 10.467
Ag 6.259 4.651 1.710
Ag 6.581 4.319 8.837
Ag 6.605 1.781 5.468
Ag 7.366 0.125 7.868
Ag 7.800 7.424 2.539
Ag 8.561 5.768 0.140
Ag 8.585 3.230 3.508
Ag 8.908 2.898 7.039
Ag 9.561 5.492 5.139
Ag 11.027 7.505 2.783
Ag 11.091 0.879 7.017
Ag 11.215 2.815 4.769
Ag 11.534 6.590 10.098
Ag 11.659 4.654 1.689
Ag 11.722 3.730 8.111
Ag 13.188 1.718 10.467
Ag 13.842 6.673 1.710
Ag 14.164 7.005 8.837
Ag 14.188 1.993 5.468
Ag 14.949 3.649 7.868
S 0.130 1.741 1.252
S 1.710 2.429 5.133
S 1.838 0.050 9.372
S 1.849 5.806 2.612
S 1.925 3.524 9.378
S 3.595 1.734 1.276
S 3.988 5.509 6.604
S 5.658 7.298 4.050
S 5.734 2.031 7.940
S 5.745 3.824 4.044
S 5.873 6.204 10.461
S 7.453 5.515 6.580
S 7.713 2.034 1.252
S 9.293 1.346 5.133
S 9.421 3.725 9.372
S 9.432 5.518 2.612
S 9.508 0.251 9.378
S 11.178 2.041 1.276
S 11.571 5.815 6.604
S 13.241 4.026 4.050
S 13.317 1.744 7.940
S 13.328 7.500 4.044
S 13.456 5.120 10.461
S 15.037 5.809 6.580
```